Compound: Nd2SmCu2
Source: Alexandria
Functional: PBE
Structure: relaxed

Unit cell a=3.6260 b=5.1897 c=13.5172 alpha=90.00 beta=97.65 gamma=90.00
Space group P2_1/m (No. 11)
Symmetry-distinct sites (fractional):
Nd 0.0462 0.2500 0.0939 (multiplicity 2)
Nd 0.2297 0.2500 0.4585 (multiplicity 2)
Sm 0.1403 0.7500 0.2809 (multiplicity 2)
Cu 0.3610 0.7500 0.7230 (multiplicity 2)
Cu 0.4541 0.2500 0.9049 (multiplicity 2)

Total magnetization   0.00 μB per atom
E_tot   -4.576 eV/atom
Energy relative to the lowest polymorph listed for this composition   0.0 meV per atom